Entry from Alexandria via LeMat-Bulk: crystalline CaIr4 at its relaxed geometry (PBE-GGA).

E_form ... 0.10 eV/atom
Distance to the lowest polymorph of the same formula ... 73 meV/atom

a b c (Å): 6.3876 6.3876 3.9601
angles (deg): 90.00 90.00 90.00
Closest atoms and distances in Å follow each position.
Space group I4/m (No. 87)
Inequivalent atoms, fractional coordinates:
Ca 0.0000 0.0000 0.0000 x2  12 Ir 2.82-2.90
Ir 0.0979 0.3168 0.5000 x8  7 Ir 2.65-2.90, 3 Ca 2.82-2.90

***

Entry from Alexandria via LeMat-Bulk: crystalline Ca5Ir2 at its relaxed geometry (PBE-GGA).

E_form ... -0.34 eV/atom

a b c (Å): 15.8646 6.4422 7.6707
angles (deg): 90.00 97.83 90.00
Closest atoms and distances in Å follow each position.
Space group C2/c (No. 15)
Inequivalent atoms, fractional coordinates:
Ca 0.0000 0.0795 0.2500 x4  4 Ir 2.97-3.02
Ca 0.0870 0.3819 0.9195 x8  2 Ir 2.87-2.91
Ca 0.2182 0.0802 0.3250 x8  3 Ir 2.92-3.03
Ir 0.1102 0.2118 0.5839 x8  7 Ca 2.87-3.03

***

Across the entries above, E takes the values -7.39, -4.30 eV/atom, respectively.